Record 1
Material: BiIBr2
Method: DFT, PBE
State: relaxed

Results
VASP energy   -2.20 eV/atom
E above lowest polymorph   607 meV/atom
M_tot   0.000 μB/cell
Formation energy from raw total energies   0.00 eV/atom
Space group   R-3m, No. 166
N(E_F)   1.234 states/eV/atom

Lattice parameters (Å, degrees): 14.3174 14.3174 14.3174 14.08 14.08 14.08
With the nearest neighbours (Å) after each atom.
Fractional positions:
Br 0.0657 0.0657 0.0657  1 Bi 2.79
Br 0.9343 0.9343 0.9343  1 Bi 2.79
I 0.5000 0.5000 0.5000  6 I 3.51
Bi 0.0000 0.0000 0.0000  2 Br 2.79

Record 2
Material: BiIBr2
Method: DFT, PBE
State: relaxed

Results
VASP energy   -2.63 eV/atom
E above lowest polymorph   174 meV/atom
M_tot   0.000 μB/cell
Formation energy from raw total energies   -0.44 eV/atom
Space group   I-42d, No. 122
N(E_F)   0.000 states/eV/atom

Lattice parameters (Å, degrees): 10.1150 10.1150 7.7967 49.56 49.56 90.00
With the nearest neighbours (Å) after each atom.
Fractional positions:
Bi 0.7500 0.2500 0.5000  4 Br 2.94, 2 I 3.10
Bi 0.0000 0.0000 0.0000  4 Br 2.94, 2 I 3.10
Br 0.8750 0.9970 0.7500  2 Bi 2.94
Br 0.3750 0.2530 0.7500  2 Bi 2.94
Br 0.0030 0.6250 0.2500  2 Bi 2.94
Br 0.7470 0.1250 0.2500  2 Bi 2.94
I 0.2500 0.7500 0.5000  2 Bi 3.10
I 0.5000 0.5000 0.0000  2 Bi 3.10